# 1
First-principles (PBE) data for a geometry-optimized Li2Sn3Au2 structure, as listed in Alexandria.

a b c (Å): 4.7081 4.7081 7.8531
angles (deg): 95.04 95.04 59.28
Fractional coordinates of all 7 atoms:
Li 0.1378 0.1378 0.3574
Li 0.8622 0.8622 0.6426
Sn 0.3543 0.3543 0.0887
Sn 0.5000 0.5000 0.5000
Sn 0.6457 0.6457 0.9113
Au 0.1978 0.1978 0.7071
Au 0.8022 0.8022 0.2929

Properties
formation enthalpy at 0 K = -291 meV per atom
energy above the lowest structure with this stoichiometry = 0.0 meV per atom

---

# 2
First-principles (PBE) data for a geometry-optimized In2GaS structure, as listed in Alexandria.

a b c (Å): 9.9604 9.9604 9.9604
angles (deg): 20.74 20.74 20.74
Fractional coordinates of all 4 atoms:
In 0.1033 0.1033 0.1033
In 0.8967 0.8967 0.8967
Ga 0.0000 0.0000 0.0000
S 0.5000 0.5000 0.5000

Properties
formation energy from raw total energies = -50 meV per atom
energy above the lowest structure with this stoichiometry = 60.2 meV per atom

---

# 3
First-principles (PBE) data for a geometry-optimized PrMg2Zn2Ga structure, as listed in Alexandria.

a b c (Å): 6.6371 6.6371 6.6371
angles (deg): 135.13 135.13 65.33
Fractional coordinates of all 6 atoms:
Pr 0.0000 0.0000 0.0000
Mg 0.2500 0.7500 0.5000
Mg 0.7500 0.2500 0.5000
Zn 0.2877 0.2877 0.0000
Zn 0.7123 0.7123 0.0000
Ga 0.5000 0.5000 0.0000

Properties
formation enthalpy at 0 K = 13 meV per atom

---

no.,raw total energy (eV per cell),D(E_F) (states/eV/f.u.)
1,-24.42,2.0
2,-12.83,1.0
3,-13.46,2.9